Record 1
Computed, not measured: a relaxed TbZrZn2Ga2 crystal at the PBE level of DFT.

It has space group P-3m1 (No. 164), with a = 4.3409 Å, b = 4.3409 Å, c = 6.9257 Å, α = 90.00°, β = 90.00° and γ = 120.00°. The inequivalent atoms are Tb at (0.0000, 0.0000, 0.0000), Zr at (0.0000, 0.0000, 0.5000), Zn at (0.3333, 0.6667, 0.7249) and Ga at (0.3333, 0.6667, 0.2672).

Its final energy is -24.8 eV per cell.

Record 2
Computed, not measured: a relaxed TbZrGa crystal at the PBE level of DFT.

It has space group F-43m (No. 216), with a = 6.749 Å, b = 6.749 Å, c = 6.749 Å, α = 90.00°, β = 90.00° and γ = 90.00°. The inequivalent atoms are Tb at (0.000, 0.000, 0.000), Zr at (0.000, 0.000, 0.500) and Ga at (0.250, 0.250, 0.250).

Its final energy is -66.0 eV per cell.

Record 3
Computed, not measured: a relaxed Ga2Tc crystal at the PBE level of DFT.

It has space group Fd-3m (No. 227, origin choice 2), with a = 11.044 Å, b = 11.044 Å, c = 11.044 Å, α = 90.00°, β = 90.00° and γ = 90.00°. The inequivalent atoms are Ga at (0.000, 0.000, 0.000) and Tc at (0.125, 0.125, 0.125).

The calculation puts the energy above the most stable polymorph in this dataset at 1.3353 eV per atom. Its final energy is -102.9 eV per cell.